(1)
Density functional theory data (PBE) for a relaxed structure of ErCoNi.

Summary:
SG   P-6m2, No. 187

abc: 3.772 3.910 3.910
angles: 120.00 90.00 90.00
Each line ends with the local moment (μB).
Atoms (fractional coordinates):
Ni  0.167  0.000  0.000  -0.05
Co  0.167  0.333  0.667  -0.18
Er  0.667  0.667  0.333  0.04

***

(2)
Density functional theory data (PBE) for a relaxed structure of Er6CoNi.

Summary:
SG   C2/m, No. 12

abc: 6.327 6.327 6.516
angles: 99.71 99.71 118.00
Atoms (fractional coordinates):
Er  0.250  0.250  0.746
Er  0.424  0.086  0.254
Er  0.750  0.750  0.254
Er  0.914  0.576  0.746
Er  0.576  0.914  0.746
Er  0.086  0.424  0.254
Co  0.500  0.500  0.500
Ni  0.000  0.000  0.000

***

Number 1: energy of formation -272 meV/atom, total moment 0.17 μB/f.u., DOS(E_F) 3.58 states/eV/f.u.. Number 2: energy of formation -119 meV/atom, total moment 0.00 μB/f.u., DOS(E_F) 8.20 states/eV/f.u..